CaBeRu2 (PBE, optimized geometry); N(E_F) = 5.476 states/eV/f.u.; spin magnetization = 0.0 μB/f.u.; calculated formation energy = 0.61 eV per atom
1.0
-1.2904 4.8436 0.5591
0.1834 -2.5520 4.3465
2.5488 0.6475 0.2727
Ca Ru Be
1 2 1
Cartesian
1.3661 -0.9522 2.3096
0.0000 0.0000 0.0000
-0.5535 1.1458 2.4528
0.6292 2.7456 0.4159

---

CaBe3Ru (PBE, optimized geometry); N(E_F) = 1.435 states/eV/f.u.; spin magnetization = 0.0 μB/f.u.; calculated formation energy = 0.05 eV per atom
1.0
-2.7466 1.8866 -2.7164
0.3509 -3.3448 -2.6779
-3.2886 -1.9326 1.9830
Be Ru Ca
3 1 1
Cartesian
-1.3733 0.9433 -1.3582
0.1754 -1.6724 -1.3390
-1.6443 -0.9663 0.9915
0.0000 0.0000 0.0000
-2.8422 -1.6954 -1.7057

---

CaBeRu2 (PBE, optimized geometry); N(E_F) = 3.992 states/eV/f.u.; spin magnetization = 0.0 μB/f.u.; calculated formation energy = 0.21 eV per atom
1.0
3.0001 0.0000 0.0000
0.0000 3.0001 0.0000
0.0000 0.0000 6.9275
Be Ca Ru
1 1 2
Cartesian
1.5001 1.5001 1.7319
1.5001 1.5001 5.1956
0.0000 0.0000 0.5219
0.0000 0.0000 2.9418

---

CaBeRu2 (PBE, optimized geometry); N(E_F) = 1.858 states/eV/f.u.; spin magnetization = 0.0 μB/f.u.; calculated formation energy = 0.13 eV per atom
1.0
3.0342 0.0000 0.0000
0.0000 3.0342 0.0000
0.0000 0.0000 6.9063
Ca Be Ru
1 1 2
Cartesian
1.5171 1.5171 5.1338
0.0000 0.0000 2.8717
1.5171 1.5171 1.9684
0.0000 0.0000 0.3855

---

CaBeRu (PBE, optimized geometry); N(E_F) = 1.631 states/eV/f.u.; spin magnetization = 0.0 μB/f.u.; calculated formation energy = 0.14 eV per atom
1.0
-2.8176 0.3739 2.5591
-0.8209 -0.2281 -3.7285
-0.2761 -4.2950 0.3236
Be Ca Ru
1 1 1
Cartesian
-0.2301 -3.5807 0.2698
-2.2440 -1.2579 0.5710
-1.7165 -3.6058 -1.3631

---

CaBeRu2 (PBE, optimized geometry); N(E_F) = 4.649 states/eV/f.u.; spin magnetization = 0.0 μB/f.u.; calculated formation energy = 0.47 eV per atom
1.0
3.0185 0.0000 0.0000
0.0000 4.6452 0.0000
0.0000 0.0000 4.3670
Ru Ca Be
2 1 1
Cartesian
1.5092 2.3226 0.0000
0.0000 0.0000 0.0000
0.0000 2.3226 2.1835
1.5092 0.0000 2.1835